# Y5In6, relaxed, DFT GGA-PBE
data_Y5In6
_space_group_name_H-M_alt 'P 1'
_space_group_IT_number 1
_cell_length_a 9.086
_cell_length_b 9.086
_cell_length_c 9.086
_cell_angle_alpha 146.28
_cell_angle_beta 132.25
_cell_angle_gamma 59.73
loop_
_space_group_symop_operation_xyz
'x,y,z'
loop_
_atom_site_label
_atom_site_type_symbol
_atom_site_fract_x
_atom_site_fract_y
_atom_site_fract_z
Y1 Y 0.000 0.000 0.000
Y2 Y 0.159 0.659 0.500
Y3 Y 0.321 0.321 0.000
Y4 Y 0.679 0.679 0.000
Y5 Y 0.841 0.341 0.500
In1 In 0.117 0.845 0.272
In2 In 0.289 0.500 0.789
In3 In 0.427 0.155 0.272
In4 In 0.573 0.845 0.728
In5 In 0.711 0.500 0.211
In6 In 0.883 0.155 0.728
# Density (Mg/m³): 6.16
# Magnetization (μB per formula unit): 0.00
# Calculated formation energy (eV/atom): -0.412
# Crystal system: orthorhombic